# 1
# Si3ClO

An optimized crystal structure of Si3ClO (PBEsol, the Alexandria database).

Calculated values
E = -16.633 eV/cell
ΔE_f (raw) = 1573 meV/atom
Fermi-level density of states = 2.097 states/eV/f.u.

a b c (Å): 4.686 4.686 4.686
angles (deg): 90.00 90.00 90.00
Space group Pm-3m (No. 221)
Symmetry-distinct sites (fractional):
Si 0.000 0.000 0.500 [3 per cell]
Cl 0.000 0.000 0.000 [1 per cell]
O 0.500 0.500 0.500 [1 per cell]

=====

# 2
# Si6Cl10O7

An optimized crystal structure of Si6Cl10O7 (PBEsol, the Alexandria database).

Calculated values
E = -271.620 eV/cell
ΔE_f (raw) = -1935 meV/atom
Fermi-level density of states = 0.000 states/eV/f.u.

a b c (Å): 6.297 21.093 8.543
angles (deg): 90.00 100.10 90.00
Space group P2_1/m (No. 11)
Symmetry-distinct sites (fractional):
Si 0.004 0.117 0.052 [4 per cell]
Si 0.118 0.119 0.700 [4 per cell]
Si 0.217 0.250 0.118 [2 per cell]
Si 0.344 0.250 0.774 [2 per cell]
Cl 0.146 0.612 0.472 [4 per cell]
Cl 0.182 0.052 0.191 [4 per cell]
Cl 0.313 0.602 0.946 [4 per cell]
Cl 0.329 0.050 0.667 [4 per cell]
Cl 0.341 0.750 0.249 [2 per cell]
Cl 0.449 0.250 0.313 [2 per cell]
O 0.050 0.110 0.872 [4 per cell]
O 0.065 0.188 0.118 [4 per cell]
O 0.227 0.188 0.687 [4 per cell]
O 0.329 0.250 0.961 [2 per cell]

=====

# 3
# Sr2SiCl2O3

An optimized crystal structure of Sr2SiCl2O3 (PBEsol, the Alexandria database).

Calculated values
E = -415.890 eV/cell
ΔE_f (raw) = -2849 meV/atom
Fermi-level density of states = 0.000 states/eV/f.u.

a b c (Å): 11.148 11.148 9.479
angles (deg): 90.00 90.00 90.00
Space group I4/m (No. 87)
Symmetry-distinct sites (fractional):
Sr 0.081 0.749 0.230 [16 per cell]
Si 0.097 0.183 0.500 [8 per cell]
Cl 0.000 0.000 0.205 [4 per cell]
Cl 0.000 0.500 0.250 [4 per cell]
Cl 0.100 0.250 0.000 [8 per cell]
O 0.051 0.834 0.500 [8 per cell]
O 0.129 0.246 0.352 [16 per cell]

=====

# 4
# Sm2Ta2Cl2O7

An optimized crystal structure of Sm2Ta2Cl2O7 (PBEsol, the Alexandria database).

Calculated values
E = -230.357 eV/cell
ΔE_f (raw) = -3010 meV/atom
Fermi-level density of states = 0.000 states/eV/f.u.

a b c (Å): 15.235 3.897 6.841
angles (deg): 90.00 113.95 90.00
Space group C2/m (No. 12)
Symmetry-distinct sites (fractional):
Sm 0.193 0.000 0.164 [4 per cell]
Ta 0.035 0.500 0.801 [4 per cell]
Cl 0.180 0.000 0.566 [4 per cell]
O 0.000 0.500 0.500 [2 per cell]
O 0.047 0.000 0.842 [4 per cell]
O 0.083 0.500 0.155 [4 per cell]
O 0.177 0.500 0.935 [4 per cell]

=====

> Which formula does entry 1 have?

Si3ClO